No. 1
Density functional theory data (PBE-GGA) for a geometry-optimized CaLa2YH structure.

abc: 5.2862 5.2862 5.1283
angles: 90.00 90.00 90.00
Closest atoms and distances in Å follow each position.
Space group P4/mmm (No. 123)
Inequivalent atoms, fractional coordinates:
Ca: 0.0000 0.0000 0.0000 x1  2 H 2.56
La: 0.0000 0.5000 0.5000 x2  2 H 2.64
Y: 0.5000 0.5000 0.0000 x1  8 La 3.68, 4 Ca 3.74
H: 0.0000 0.0000 0.5000 x1  2 Ca 2.56, 4 La 2.64

Results
DFT total energy	-4.46	eV/atom
distance to the lowest polymorph of the same formula	0	meV/atom


No. 2
Density functional theory data (PBE-GGA) for a geometry-optimized Ca2LaYH structure.

abc: 5.7281 5.7281 4.5160
angles: 90.00 90.00 90.00
Closest atoms and distances in Å follow each position.
Space group P4/mmm (No. 123)
Inequivalent atoms, fractional coordinates:
Ca: 0.0000 0.5000 0.0000 x2  2 H 2.86
La: 0.0000 0.0000 0.5000 x1  8 Ca 3.65, 4 Y 4.05
Y: 0.5000 0.5000 0.5000 x1  2 H 2.26
H: 0.5000 0.5000 0.0000 x1  2 Y 2.26

Results
DFT total energy	-3.78	eV/atom
distance to the lowest polymorph of the same formula	27	meV/atom


No. 3
Density functional theory data (PBE-GGA) for a geometry-optimized Ca2LaZnH structure.

abc: 4.9376 4.9376 5.0917
angles: 90.00 90.00 90.00
Closest atoms and distances in Å follow each position.
Space group P4/mmm (No. 123)
Inequivalent atoms, fractional coordinates:
Ca: 0.0000 0.5000 0.0000 x2  2 H 2.47
La: 0.0000 0.0000 0.5000 x1  2 H 2.55
Zn: 0.5000 0.5000 0.5000 x1  4 La 3.49, 8 Ca 3.55
H: 0.0000 0.0000 0.0000 x1  4 Ca 2.47, 2 La 2.55

Results
DFT total energy	-2.86	eV/atom


No. 4
Density functional theory data (PBE-GGA) for a geometry-optimized CaLa2ZrH structure.

abc: 5.1642 5.1642 4.8765
angles: 90.00 90.00 90.00
Closest atoms and distances in Å follow each position.
Space group P4/mmm (No. 123)
Inequivalent atoms, fractional coordinates:
Ca: 0.0000 0.0000 0.0000 x1  2 H 2.44
La: 0.0000 0.5000 0.5000 x2  2 H 2.58
Zr: 0.5000 0.5000 0.0000 x1  8 La 3.55, 4 Ca 3.65
H: 0.0000 0.0000 0.5000 x1  2 Ca 2.44, 4 La 2.58

Results
DFT total energy	-4.76	eV/atom
distance to the lowest polymorph of the same formula	0	meV/atom


No. 5
Density functional theory data (PBE-GGA) for a geometry-optimized CaLa2ZrH structure.

abc: 5.2739 5.2739 4.7000
angles: 90.00 90.00 90.00
Closest atoms and distances in Å follow each position.
Space group P4/mmm (No. 123)
Inequivalent atoms, fractional coordinates:
Ca: 0.0000 0.0000 0.0000 x1  8 La 3.53, 4 Zr 3.73
La: 0.0000 0.5000 0.5000 x2  2 H 2.64
Zr: 0.5000 0.5000 0.0000 x1  2 H 2.35
H: 0.5000 0.5000 0.5000 x1  2 Zr 2.35

Results
DFT total energy	-4.74	eV/atom
distance to the lowest polymorph of the same formula	19	meV/atom


No. 6
Density functional theory data (PBE-GGA) for a geometry-optimized LiCa3H6 structure.

abc: 8.7973 11.2189 5.4024
angles: 90.00 90.00 90.00
Closest atoms and distances in Å follow each position.
Space group Cmc2_1 (No. 36)
Inequivalent atoms, fractional coordinates:
Li: 0.0000 0.1891 0.0000 x4  4 H 1.89-2.04
Ca: 0.0000 0.3916 0.5675 x4  7 H 2.30-2.37
Ca: 0.1945 0.1097 0.5241 x8  6 H 2.24-2.46
H: 0.0000 0.0321 0.8079 x4  1 Li 2.04
H: 0.0000 0.2166 0.3448 x4  1 Li 1.89
H: 0.1549 0.2615 0.8040 x8  1 Li 1.91
H: 0.1585 0.4882 0.2958 x8  4 Ca 2.24-2.30

Results
DFT total energy	-3.27	eV/atom